w) An optimized crystal structure of BaMgOs3, computed with PBE.

Computed properties:
Calculated volume   21.812 Å³/atom
SG   No. 221

abc: 4.7777 4.7777 4.7777
angles: 90.00 90.00 90.00
Last column: nearest neighbours and their distance in Å.
Atoms (fractional coordinates):
1 Ba 0.0000 0.0000 0.0000  12 Os 3.38
2 Mg 0.5000 0.5000 0.5000  6 Os 2.39
3 Os 0.0000 0.5000 0.5000  2 Mg 2.39
4 Os 0.5000 0.0000 0.5000  2 Mg 2.39
5 Os 0.5000 0.5000 0.0000  2 Mg 2.39

***

x) An optimized crystal structure of BaMgOs3, computed with PBE.

Computed properties:
Calculated volume   26.225 Å³/atom
SG   No. 221

abc: 5.0804 5.0804 5.0804
angles: 90.00 90.00 90.00
Last column: nearest neighbours and their distance in Å.
Atoms (fractional coordinates):
1 Ba 0.0000 0.0000 0.0000  6 Os 2.54
2 Mg 0.5000 0.5000 0.5000  12 Os 3.59
3 Os 0.0000 0.0000 0.5000  2 Ba 2.54
4 Os 0.0000 0.5000 0.0000  2 Ba 2.54
5 Os 0.5000 0.0000 0.0000  2 Ba 2.54

***

Which structure is the most stable? The one labeled w).

***

w) An optimized crystal structure of BaMg3Os, computed with PBE.

Computed properties:
Calculated volume   27.733 Å³/atom
SG   No. 221

abc: 5.1759 5.1759 5.1759
angles: 90.00 90.00 90.00
Last column: nearest neighbours and their distance in Å.
Atoms (fractional coordinates):
1 Ba 0.0000 0.0000 0.0000  12 Mg 3.66
2 Mg 0.0000 0.5000 0.5000  2 Os 2.59
3 Mg 0.5000 0.0000 0.5000  2 Os 2.59
4 Mg 0.5000 0.5000 0.0000  2 Os 2.59
5 Os 0.5000 0.5000 0.5000  6 Mg 2.59

***

x) An optimized crystal structure of BaMg3Os, computed with PBE.

Computed properties:
Calculated volume   47.463 Å³/atom
SG   No. 221

abc: 6.1912 6.1912 6.1912
angles: 90.00 90.00 90.00
Last column: nearest neighbours and their distance in Å.
Atoms (fractional coordinates):
1 Ba 0.0000 0.0000 0.0000  6 Mg 3.10
2 Mg 0.0000 0.0000 0.5000  2 Ba 3.10
3 Mg 0.0000 0.5000 0.0000  2 Ba 3.10
4 Mg 0.5000 0.0000 0.0000  2 Ba 3.10
5 Os 0.5000 0.5000 0.5000  12 Mg 4.38

***

Which structure is the most stable? The one labeled w).

***

w) An optimized crystal structure of Ba2MgP, computed with PBE.

Computed properties:
Calculated volume   36.882 Å³/atom
SG   No. 35

abc: 3.9336 3.9336 9.6790
angles: 90.00 90.00 99.91
Last column: nearest neighbours and their distance in Å.
Atoms (fractional coordinates):
1 Ba 0.0000 0.0000 0.0000  4 Mg 3.50-3.87, 1 P 3.57
2 Ba 0.5000 0.5000 0.4256  1 Mg 3.14, 2 P 3.22
3 Mg 0.5000 0.5000 0.7496  2 P 2.78
4 P 0.0000 0.0000 0.6310  2 Mg 2.78

***

x) An optimized crystal structure of Ba2MgP, computed with PBE.

Computed properties:
Calculated volume   42.723 Å³/atom
SG   No. 122

abc: 7.6516 7.6516 7.6516
angles: 106.45 106.45 115.69
Last column: nearest neighbours and their distance in Å.
Atoms (fractional coordinates):
1 Ba 0.0654 0.6250 0.9404  2 P 3.05
2 Ba 0.3750 0.3154 0.4404  2 P 3.05
3 Ba 0.6846 0.1250 0.0596  2 P 3.05
4 Ba 0.8750 0.9346 0.5596  2 P 3.05
5 Mg 0.2500 0.7500 0.5000  8 Ba 3.79-4.20, 2 P 4.07
6 Mg 0.5000 0.5000 0.0000  8 Ba 3.79-4.20, 2 P 4.07
7 P 0.0000 0.0000 0.0000  4 Ba 3.05
8 P 0.7500 0.2500 0.5000  4 Ba 3.05

***

Which structure is the most stable? The one labeled x).